[1]
Here is an optimized crystal structure of YMgOs4 from the Alexandria database. Energies are from PBE.

- energy of formation (eV per atom) = -0.019
- total magnetization (μB/f.u.) = 0.0

extended XYZ file:
```
6
Lattice="0.0000 3.7372 3.7372 3.7372 0.0000 3.7372 3.7372 3.7372 0.0000" Properties=species:S:1:pos:R:3 pbc="T T T"
Y 5.6058 5.6058 5.6058
Mg 0.0000 0.0000 0.0000
Os 2.8002 4.6742 4.6742
Os 4.6742 4.6742 2.8002
Os 4.6742 2.8002 4.6742
Os 2.8002 2.8002 2.8002
```



[2]
Here is an optimized crystal structure of YMgOs from the Alexandria database. Energies are from PBE.

- energy of formation (eV per atom) = 0.913
- total magnetization (μB/f.u.) = 0.0

extended XYZ file:
```
3
Lattice="4.6887 0.0000 0.0000 2.3444 4.0606 0.0000 2.3444 1.3535 3.8283" Properties=species:S:1:pos:R:3 pbc="T T T"
Mg 0.0000 0.0000 0.0000
Os 4.6887 2.7070 1.9142
Y 7.0331 4.0606 2.8712
```



[3]
Here is an optimized crystal structure of Y3Mg2Os from the Alexandria database. Energies are from PBE.

- energy of formation (eV per atom) = -0.178
- total magnetization (μB/f.u.) = 0.0

extended XYZ file:
```
12
Lattice="5.0095 -0.0036 0.0224 2.5022 7.4626 0.0112 -0.0357 0.0000 7.9974" Properties=species:S:1:pos:R:3 pbc="T T T"
Y 4.9804 2.6043 6.3528
Y 2.4969 -0.0018 1.7610
Y 2.4955 4.8547 1.6781
Y 5.0013 2.6043 1.6893
Y 2.4747 4.8547 6.3416
Y 2.4768 -0.0018 6.2588
Mg 0.0000 0.0000 0.0000
Mg -0.0179 0.0000 3.9987
Mg 2.4865 2.4872 4.0099
Mg 4.9894 4.9719 4.0211
Os 2.4691 2.3813 8.0085
Os 4.9711 5.0777 8.0197
```



[4]
Here is an optimized crystal structure of YMgOs from the Alexandria database. Energies are from PBE.

- energy of formation (eV per atom) = 0.336
- total magnetization (μB/f.u.) = 0.0

extended XYZ file:
```
3
Lattice="-3.0327 -0.5771 -1.2704 1.4025 -2.2296 2.0509 -2.8445 3.1434 5.3623" Properties=species:S:1:pos:R:3 pbc="T T T"
Mg -0.1326 0.1465 0.2500
Os -2.4987 -0.0842 1.6172
Y -1.8433 0.2744 4.2757
```



Please write out number 4 again, unchanged.
Here is an optimized crystal structure of YMgOs from the Alexandria database. Energies are from PBE.

- energy of formation (eV per atom) = 0.336
- total magnetization (μB/f.u.) = 0.0

extended XYZ file:
```
3
Lattice="-3.0327 -0.5771 -1.2704 1.4025 -2.2296 2.0509 -2.8445 3.1434 5.3623" Properties=species:S:1:pos:R:3 pbc="T T T"
Mg -0.1326 0.1465 0.2500
Os -2.4987 -0.0842 1.6172
Y -1.8433 0.2744 4.2757
```



Question: Among the records above, which one has the highest energy of formation?
Answer: number 2



Question: Look up the total magnetization of the second one.
Answer: 0.0 μB/f.u.